Version w
Density functional theory data (PBE-GGA) for TcAg2Mo after structural relaxation.

Output
The density comes out at 9.92 Mg/m³. As for the size of the total moment: 0.000 Bohr magnetons per cell.

a = 5.312 Å, b = 5.312 Å, c = 5.312 Å
α = 144.71°, β = 126.61°, γ = 65.64°
Positions (direct):
Ag 0.009 0.009 0.000
Ag 0.743 0.243 0.500
Mo 0.471 0.471 0.000
Tc 0.277 0.777 0.500

=====

Version x
Density functional theory data (PBE-GGA) for TcAg2Mo after structural relaxation.

Output
The density comes out at 6.98 Mg/m³. As for the size of the total moment: 0.000 Bohr magnetons per cell.

a = 5.823 Å, b = 5.823 Å, c = 7.068 Å
α = 65.67°, β = 65.67°, γ = 90.00°
Positions (direct):
Mo 0.500 0.500 0.000
Mo 0.250 0.750 0.500
Tc 0.000 0.000 0.000
Tc 0.750 0.250 0.500
Ag 0.629 0.125 0.250
Ag 0.121 0.625 0.250
Ag 0.375 0.371 0.750
Ag 0.875 0.879 0.750

=====

Which of them is least stable? Easy: version x.

=====

Version w
Density functional theory data (PBE-GGA) for TcAg2Mo after structural relaxation.

Output
The density comes out at 10.44 Mg/m³. As for the size of the total moment: 0.273 Bohr magnetons per cell.

a = 9.910 Å, b = 9.910 Å, c = 9.910 Å
α = 16.09°, β = 16.09°, γ = 16.09°
Site moments in Bohr magnetons follow the coordinates.
Positions (direct):
Ag 0.001 0.001 0.001  0.01
Ag 0.499 0.499 0.499  0.01
Mo 0.250 0.250 0.250  -0.14
Tc 0.750 0.750 0.750  0.37

=====

Version x
Density functional theory data (PBE-GGA) for TcAg2Mo after structural relaxation.

Output
The density comes out at 10.23 Mg/m³. As for the size of the total moment: 0.000 Bohr magnetons per cell.

a = 2.740 Å, b = 2.740 Å, c = 9.506 Å
α = 90.00°, β = 90.00°, γ = 111.34°
Positions (direct):
Ag 0.000 0.000 0.994
Ag 0.500 0.500 0.255
Mo 0.000 0.000 0.516
Tc 0.500 0.500 0.735

=====

Version y
Density functional theory data (PBE-GGA) for TcAg2Mo after structural relaxation.

Output
The density comes out at 10.51 Mg/m³. As for the size of the total moment: 0.000 Bohr magnetons per cell.

a = 5.298 Å, b = 5.298 Å, c = 5.298 Å
α = 138.41°, β = 138.52°, γ = 60.19°
Positions (direct):
Ag 0.000 0.000 0.000
Ag 0.500 0.500 0.000
Mo 0.750 0.250 0.500
Tc 0.250 0.750 0.500

=====

Which of them is least stable? Easy: version w.

=====

Version w
Density functional theory data (PBE-GGA) for TcAg2Mo after structural relaxation.

Output
The density comes out at 10.38 Mg/m³. As for the size of the total moment: 0.000 Bohr magnetons per cell.

a = 4.525 Å, b = 4.525 Å, c = 4.525 Å
α = 60.00°, β = 60.00°, γ = 60.00°
Positions (direct):
Mo 0.000 0.000 0.000
Tc 0.500 0.500 0.500
Ag 0.250 0.250 0.250
Ag 0.750 0.750 0.750

=====

Version x
Density functional theory data (PBE-GGA) for TcAg2Mo after structural relaxation.

Output
The density comes out at 10.50 Mg/m³. As for the size of the total moment: 0.000 Bohr magnetons per cell.

a = 3.752 Å, b = 3.752 Å, c = 4.603 Å
α = 90.00°, β = 90.00°, γ = 90.00°
Positions (direct):
Ag 0.000 0.000 0.000
Ag 0.500 0.500 0.000
Mo 0.500 0.000 0.500
Tc 0.000 0.500 0.500

=====

Which of them is least stable? Easy: version w.

=====

Version w
Density functional theory data (PBE-GGA) for TcAgMo after structural relaxation.

Output
The density comes out at 10.22 Mg/m³. As for the size of the total moment: 0.000 Bohr magnetons per cell.

a = 7.307 Å, b = 7.128 Å, c = 2.741 Å
α = 82.76°, β = 75.39°, γ = 21.85°
Positions (direct):
Ag 0.000 0.000 0.000
Mo 0.323 0.323 0.677
Tc 0.677 0.677 0.323

=====

Version x
Density functional theory data (PBE-GGA) for TcAgMo after structural relaxation.

Output
The density comes out at 10.57 Mg/m³. As for the size of the total moment: 0.000 Bohr magnetons per cell.

a = 4.892 Å, b = 4.892 Å, c = 4.892 Å
α = 148.68°, β = 128.16°, γ = 61.83°
Positions (direct):
Ag 0.001 0.001 0.000
Mo 0.334 0.334 0.000
Tc 0.666 0.666 0.000

=====

Version y
Density functional theory data (PBE-GGA) for TcAgMo after structural relaxation.

Output
The density comes out at 10.14 Mg/m³. As for the size of the total moment: 0.000 Bohr magnetons per cell.

a = 5.341 Å, b = 5.341 Å, c = 5.341 Å
α = 145.18°, β = 145.18°, γ = 50.06°
Positions (direct):
Ag 0.000 0.000 0.000
Mo 0.314 0.314 0.000
Tc 0.686 0.686 0.000

=====

Which of them is least stable? Easy: version y.

=====

Version w
Density functional theory data (PBE-GGA) for AgTeMo after structural relaxation.

Output
The density comes out at 9.32 Mg/m³. As for the size of the total moment: 0.894 Bohr magnetons per cell.

a = 5.649 Å, b = 5.649 Å, c = 5.649 Å
α = 145.00°, β = 145.00°, γ = 50.34°
Site moments in Bohr magnetons follow the coordinates.
Positions (direct):
Ag 0.995 0.995 0.000  0.04
Mo 0.318 0.318 0.000  0.78
Te 0.686 0.686 0.000  -0.03

=====

Version x
Density functional theory data (PBE-GGA) for AgTeMo after structural relaxation.

Output
The density comes out at 9.43 Mg/m³. As for the size of the total moment: 0.000 Bohr magnetons per cell.

a = 4.820 Å, b = 4.820 Å, c = 2.900 Å
α = 90.00°, β = 90.00°, γ = 120.00°
Positions (direct):
Ag 0.000 0.000 0.999
Mo 0.667 0.333 0.500
Te 0.333 0.667 0.501

=====

Which of them is least stable? Easy: version x.

=====

Version w
Density functional theory data (PBE-GGA) for Ti2Ag2Mo after structural relaxation.

Output
The density comes out at 7.29 Mg/m³. As for the size of the total moment: 0.010 Bohr magnetons per cell.

a = 3.572 Å, b = 3.572 Å, c = 7.696 Å
α = 76.58°, β = 76.58°, γ = 90.00°
Positions (direct):
Mo 0.000 0.000 0.000
Ag 0.750 0.250 0.500
Ag 0.250 0.750 0.500
Ti 0.411 0.411 0.178
Ti 0.589 0.589 0.822

=====

Version x
Density functional theory data (PBE-GGA) for Ti2Ag2Mo after structural relaxation.

Output
The density comes out at 7.67 Mg/m³. As for the size of the total moment: 0.000 Bohr magnetons per cell.

a = 6.661 Å, b = 6.661 Å, c = 3.976 Å
α = 90.00°, β = 90.00°, γ = 90.00°
Positions (direct):
Mo 0.000 0.000 0.000
Mo 0.500 0.500 0.000
Ag 0.150 0.650 0.500
Ag 0.650 0.850 0.500
Ag 0.850 0.350 0.500
Ag 0.350 0.150 0.500
Ti 0.344 0.844 0.000
Ti 0.844 0.656 0.000
Ti 0.656 0.156 0.000
Ti 0.156 0.344 0.000

=====

Which of them is least stable? Easy: version w.

=====

Version w
Density functional theory data (PBE-GGA) for Ti2AgMo after structural relaxation.

Output
The density comes out at 7.44 Mg/m³. As for the size of the total moment: 0.000 Bohr magnetons per cell.

a = 3.226 Å, b = 3.226 Å, c = 6.421 Å
α = 90.00°, β = 90.00°, γ = 90.00°
Positions (direct):
Mo 0.500 0.500 0.000
Ag 0.500 0.500 0.500
Ti 0.000 0.000 0.776
Ti 0.000 0.000 0.224

=====

Version x
Density functional theory data (PBE-GGA) for Ti2AgMo after structural relaxation.

Output
The density comes out at 7.61 Mg/m³. As for the size of the total moment: 0.000 Bohr magnetons per cell.

a = 3.274 Å, b = 4.467 Å, c = 4.467 Å
α = 90.00°, β = 90.00°, γ = 90.00°
Positions (direct):
Mo 0.500 0.500 0.500
Ag 0.500 0.000 0.000
Ti 0.000 0.000 0.500
Ti 0.000 0.500 0.000

=====

Which of them is least stable? Easy: version x.

=====

Version w
Density functional theory data (PBE-GGA) for TiAgMo after structural relaxation.

Output
The density comes out at 8.32 Mg/m³. As for the size of the total moment: 0.000 Bohr magnetons per cell.

a = 4.295 Å, b = 2.795 Å, c = 8.419 Å
α = 96.19°, β = 90.00°, γ = 90.00°
Positions (direct):
Ti 0.347 0.401 0.174
Ti 0.847 0.589 0.650
Ag 0.847 0.785 0.999
Ag 0.347 0.205 0.825
Mo 0.347 0.879 0.481
Mo 0.847 0.110 0.342

=====

Version x
Density functional theory data (PBE-GGA) for TiAgMo after structural relaxation.

Output
The density comes out at 8.41 Mg/m³. As for the size of the total moment: 0.007 Bohr magnetons per cell.

a = 3.228 Å, b = 2.732 Å, c = 13.974 Å
α = 90.00°, β = 90.00°, γ = 126.21°
Positions (direct):
Ti 0.698 0.397 0.000
Ti 0.192 0.384 0.500
Mo 0.692 0.383 0.342
Mo 0.692 0.383 0.658
Ag 0.196 0.393 0.169
Ag 0.196 0.393 0.831

=====

Which of them is least stable? Easy: version x.